Entry a
This record from the Alexandria database describes a PBEsol-optimized structure of CrIr2Os. The functional is meta-GGA SCAN.

Its size of the total moment is 2.5 μB per cell.

It has space group I-4m2 (No. 119), with a = 3.7846 Å, b = 3.7846 Å, c = 7.4849 Å, α = 90.00°, β = 90.00° and γ = 90.00°. The distinct sites, in fractional coordinates, are Cr at (0.0000, 0.0000, 0.0000), Ir at (0.0000, 0.0000, 0.5000), Ir at (0.0000, 0.5000, 0.7500) and Os at (0.0000, 0.5000, 0.2500).

Entry b
This record from the Alexandria database describes a PBEsol-optimized structure of CrIr2Os. The functional is meta-GGA SCAN.

Its size of the total moment is 3.4 μB per cell.

It has space group Cmmm (No. 65), with a = 5.3340 Å, b = 7.5493 Å, c = 2.6792 Å, α = 90.00°, β = 90.00° and γ = 90.00°. The distinct sites, in fractional coordinates, are Cr at (0.0000, 0.0000, 0.0000), Ir at (0.2500, 0.2500, 0.5000) and Os at (0.0000, 0.5000, 0.0000).

Which one is the least stable? From the structures above, entry a.